An optimized crystal structure of TaI3N. Source: Alexandria via LeMat-Bulk, functional GGA-PBEsol.

Properties
E_form (uncorrected) (eV per atom): 1.085
Density of states at the Fermi level (states/eV per cell): 2.80

a = 5.4807 Å, b = 5.4807 Å, c = 5.4807 Å
α = 90.00°, β = 90.00°, γ = 90.00°
Last column: nearest neighbours and their distance in Å.
Element x y z (fractional)
1 Ta 0.0000 0.0000 0.0000  6 I 2.74
2 I 0.0000 0.0000 0.5000  2 Ta 2.74
3 I 0.0000 0.5000 0.0000  2 Ta 2.74
4 I 0.5000 0.0000 0.0000  2 Ta 2.74
5 N 0.5000 0.5000 0.5000  12 I 3.88

An optimized crystal structure of NaAlC3. Source: Alexandria via LeMat-Bulk, functional GGA-PBEsol.

Properties
Density of states at the Fermi level (states/eV per cell): 3.08
Energy of formation from the pure elements (eV per atom): 2.0818

a = 3.9631 Å, b = 3.9631 Å, c = 3.9631 Å
α = 90.00°, β = 90.00°, γ = 90.00°
Last column: nearest neighbours and their distance in Å.
Element x y z (fractional)
1 Na 0.0000 0.0000 0.0000  12 C 2.80
2 Al 0.5000 0.5000 0.5000  6 C 1.98
3 C 0.0000 0.5000 0.5000  2 Al 1.98
4 C 0.5000 0.0000 0.5000  2 Al 1.98
5 C 0.5000 0.5000 0.0000  2 Al 1.98

An optimized crystal structure of Cd5In. Source: Alexandria via LeMat-Bulk, functional GGA-PBEsol.

Properties
Density of states at the Fermi level (states/eV per cell): 2.18
Distance to the lowest polymorph of the same formula (kJ/mol of formula units): 49
Energy of formation from the pure elements (eV per atom): 0.1019

a = 5.8382 Å, b = 5.8382 Å, c = 4.7991 Å
α = 90.00°, β = 90.00°, γ = 120.00°
Last column: nearest neighbours and their distance in Å.
Element x y z (fractional)
1 Cd 0.0000 0.5000 0.0000  8 Cd 2.92-2.93
2 Cd 0.3333 0.6667 0.5000  6 Cd 2.93
3 Cd 0.5000 0.0000 0.0000  8 Cd 2.92-2.93
4 Cd 0.5000 0.5000 0.0000  8 Cd 2.92-2.93
5 Cd 0.6667 0.3333 0.5000  6 Cd 2.93
6 In 0.0000 0.0000 0.5000  6 Cd 3.37

An optimized crystal structure of Cs2TbAuCl6. Source: Alexandria via LeMat-Bulk, functional GGA-PBEsol.

Properties
E_form (uncorrected) (eV per atom): -1.699
Density of states at the Fermi level (states/eV per cell): 0.00

a = 7.4924 Å, b = 7.4924 Å, c = 7.4924 Å
α = 60.00°, β = 60.00°, γ = 60.00°
Last column: nearest neighbours and their distance in Å.
Element x y z (fractional)
1 Cs 0.2500 0.2500 0.2500  12 Cl 3.75
2 Cs 0.7500 0.7500 0.7500  12 Cl 3.75
3 Tb 0.0000 0.0000 0.0000  6 Cl 2.62
4 Au 0.5000 0.5000 0.5000  6 Cl 2.68
5 Cl 0.2468 0.2468 0.7532  1 Tb 2.62, 1 Au 2.68
6 Cl 0.2468 0.7532 0.2468  1 Tb 2.62, 1 Au 2.68
7 Cl 0.2468 0.7532 0.7532  1 Tb 2.62, 1 Au 2.68
8 Cl 0.7532 0.2468 0.2468  1 Tb 2.62, 1 Au 2.68
9 Cl 0.7532 0.2468 0.7532  1 Tb 2.62, 1 Au 2.68
10 Cl 0.7532 0.7532 0.2468  1 Tb 2.62, 1 Au 2.68